# 1
Material: Li3Mn2Cr2O8
Method: DFT, GGA-PBEsol
State: optimized geometry

Properties
calculated total energy: -116.46 eV per formula unit
SG: No. 12

Cell lengths 5.7368, 5.7368, 5.8160 Å; angles 120.23, 120.23, 59.25 degrees
Fractional coordinates of all 15 atoms:
Li (0.0000, 0.0000, 0.0000)
Li (0.0000, 0.5000, 0.5000)
Li (0.5000, 0.0000, 0.5000)
Mn (0.0000, 0.5000, 0.0000)
Mn (0.5000, 0.0000, 0.0000)
Cr (0.5000, 0.5000, 0.0000)
Cr (0.5000, 0.5000, 0.5000)
O (0.2548, 0.7175, 0.2329)
O (0.2568, 0.2568, 0.2385)
O (0.2611, 0.2611, 0.7834)
O (0.2825, 0.7452, 0.7671)
O (0.7175, 0.2548, 0.2329)
O (0.7389, 0.7389, 0.2166)
O (0.7432, 0.7432, 0.7615)
O (0.7452, 0.2825, 0.7671)

***

# 2
Material: MnH3Pb
Method: DFT, GGA-PBEsol
State: optimized geometry

Properties
calculated total energy: -18.58 eV per formula unit
SG: No. 221

Cell lengths 4.1336, 4.1336, 4.1336 Å; angles 90.00, 90.00, 90.00 degrees
Fractional coordinates of all 5 atoms:
Mn (0.0000, 0.0000, 0.0000)
H (0.0000, 0.5000, 0.5000)
H (0.5000, 0.0000, 0.5000)
H (0.5000, 0.5000, 0.0000)
Pb (0.5000, 0.5000, 0.5000)

***

# 3
Material: CaZnOs3
Method: DFT, GGA-PBEsol
State: optimized geometry

Properties
SG: No. 221
ΔH_f (0 K): 1.7105 eV per atom

Cell lengths 4.5342, 4.5342, 4.5342 Å; angles 90.00, 90.00, 90.00 degrees
Fractional coordinates of all 5 atoms:
Ca (0.0000, 0.0000, 0.0000)
Zn (0.5000, 0.5000, 0.5000)
Os (0.0000, 0.5000, 0.5000)
Os (0.5000, 0.0000, 0.5000)
Os (0.5000, 0.5000, 0.0000)

***

# 4
Material: ScGa2Ir2
Method: DFT, GGA-PBEsol
State: optimized geometry

Properties
SG: No. 127
ΔH_f (0 K): -0.6433 eV per atom

Cell lengths 7.3188, 7.3188, 2.8402 Å; angles 90.00, 90.00, 90.00 degrees
Fractional coordinates of all 10 atoms:
Sc (0.0000, 0.0000, 0.0000)
Sc (0.5000, 0.5000, 0.0000)
Ga (0.1254, 0.3746, 0.0000)
Ga (0.3746, 0.8746, 0.0000)
Ga (0.6254, 0.1254, 0.0000)
Ga (0.8746, 0.6254, 0.0000)
Ir (0.1732, 0.6732, 0.5000)
Ir (0.3268, 0.1732, 0.5000)
Ir (0.6732, 0.8268, 0.5000)
Ir (0.8268, 0.3268, 0.5000)

***

# 5
Material: La2Ag
Method: DFT, GGA-PBEsol
State: optimized geometry

Properties
SG: No. 227
ΔH_f (0 K): -0.1077 eV per atom

Cell lengths 9.9950, 9.9950, 9.9950 Å; angles 60.00, 60.00, 60.00 degrees
Fractional coordinates of all 24 atoms:
La (0.0000, 0.0000, 0.0000)
La (0.0000, 0.0000, 0.5000)
La (0.0000, 0.5000, 0.0000)
La (0.1847, 0.1847, 0.5653)
La (0.1847, 0.5653, 0.1847)
La (0.1847, 0.5653, 0.5653)
La (0.4347, 0.4347, 0.8153)
La (0.4347, 0.8153, 0.4347)
La (0.4347, 0.8153, 0.8153)
La (0.5000, 0.0000, 0.0000)
La (0.5653, 0.1847, 0.1847)
La (0.5653, 0.1847, 0.5653)
La (0.5653, 0.5653, 0.1847)
La (0.8153, 0.4347, 0.4347)
La (0.8153, 0.4347, 0.8153)
La (0.8153, 0.8153, 0.4347)
Ag (0.1555, 0.7815, 0.7815)
Ag (0.2185, 0.2185, 0.2185)
Ag (0.2185, 0.2185, 0.8445)
Ag (0.2185, 0.8445, 0.2185)
Ag (0.7815, 0.1555, 0.7815)
Ag (0.7815, 0.7815, 0.1555)
Ag (0.7815, 0.7815, 0.7815)
Ag (0.8445, 0.2185, 0.2185)

***

# 6
Material: Li3Co2RuO6
Method: DFT, GGA-PBEsol
State: optimized geometry

Properties
calculated total energy: -78.96 eV per formula unit
SG: No. 12

Cell lengths 4.9846, 4.9846, 5.1558 Å; angles 99.32, 99.32, 119.94 degrees
Fractional coordinates of all 12 atoms:
Li (0.0000, 0.0000, 0.0000)
Li (0.3301, 0.6699, 0.0000)
Li (0.6699, 0.3301, 0.0000)
Co (0.1704, 0.8296, 0.5000)
Co (0.8296, 0.1704, 0.5000)
Ru (0.5000, 0.5000, 0.5000)
O (0.0936, 0.4190, 0.2584)
O (0.2511, 0.2511, 0.7334)
O (0.4190, 0.0936, 0.2584)
O (0.5810, 0.9064, 0.7416)
O (0.7489, 0.7489, 0.2666)
O (0.9064, 0.5810, 0.7416)